Here is a relaxed Pm2NiSeO8 crystal from Alexandria. Energies are from PBE+U.

```
Pm2NiSeO8
1.0
5.530 0.000 0.000
-2.765 4.789 0.000
0.000 0.000 5.758
Pm Ni Se O
2 1 1 8
Direct
0.667 0.333 0.137 Pm
0.333 0.667 0.863 Pm
0.000 0.000 0.500 Ni
0.000 0.000 0.000 Se
0.847 0.695 0.813 O
0.305 0.153 0.813 O
0.847 0.153 0.813 O
0.153 0.305 0.187 O
0.695 0.847 0.187 O
0.153 0.847 0.187 O
0.667 0.333 0.509 O
0.333 0.667 0.491 O
```

Computed properties:
- SG: P-3m1 (164)
- DOS at the Fermi energy: 4.52 states/eV per cell
- DFT total energy: -70.59 eV for the cell shown